one) Compound: LiTi3Sn
Source: the Alexandria database
Functional: GGA-PBE
Structure: optimized geometry

Results
Density of states at the Fermi level in states/eV per atom: 1.2799
Volume in Å³ per atom: 17.76
Density in Mg/m³: 5.03
Crystal system: cubic
Total magnetization in Bohr magnetons per cell: 0.00

abc: 4.4615 4.4615 4.4615
angles: 90.00 90.00 90.00
Sites, in units of the cell vectors:
Li 0.0000 0.0000 0.0000
Sn 0.5000 0.5000 0.5000
Ti 0.0000 0.5000 0.0000
Ti 0.0000 0.0000 0.5000
Ti 0.5000 0.0000 0.0000



two) Compound: LiTi3Sn
Source: the Alexandria database
Functional: GGA-PBE
Structure: optimized geometry

Results
Density of states at the Fermi level in states/eV per atom: 1.8974
Volume in Å³ per atom: 27.38
Density in Mg/m³: 3.27
Crystal system: cubic
Total magnetization in Bohr magnetons per cell: 3.05

abc: 5.1538 5.1538 5.1538
angles: 90.00 90.00 90.00
Site moments in Bohr magnetons follow the coordinates.
Sites, in units of the cell vectors:
Li 0.5000 0.5000 0.5000  0.00
Sn 0.0000 0.0000 0.0000  -0.03
Ti 0.0000 0.5000 0.0000  0.65
Ti 0.0000 0.0000 0.5000  0.73
Ti 0.5000 0.0000 0.0000  0.82



Most stable: one). Least stable: two).



one) Compound: Li7Tl2Sn
Source: the Alexandria database
Functional: GGA-PBE
Structure: optimized geometry

Results
Density of states at the Fermi level in states/eV per atom: 0.2302
Volume in Å³ per atom: 22.64
Density in Mg/m³: 4.23
Crystal system: orthorhombic
Total magnetization in Bohr magnetons per cell: 0.00

abc: 4.1755 8.6547 8.6548
angles: 133.63 90.00 90.00
Sites, in units of the cell vectors:
Li 0.0000 0.8193 0.1807
Li 0.0000 0.1807 0.8193
Li 0.5000 0.0885 0.2821
Li 0.5000 0.9115 0.7179
Li 0.5000 0.2821 0.0885
Li 0.5000 0.7179 0.9115
Li 0.5000 0.5000 0.5000
Tl 0.5000 0.7014 0.2986
Tl 0.5000 0.2986 0.7014
Sn 0.0000 0.0000 0.0000



two) Compound: Li7Tl2Sn
Source: the Alexandria database
Functional: GGA-PBE
Structure: optimized geometry

Results
Density of states at the Fermi level in states/eV per atom: 0.3972
Volume in Å³ per atom: 19.97
Density in Mg/m³: 4.79
Crystal system: trigonal
Total magnetization in Bohr magnetons per cell: 0.00

abc: 4.7208 4.7208 10.3468
angles: 90.00 90.00 120.00
Sites, in units of the cell vectors:
Li 0.3333 0.6667 0.3662
Li 0.3333 0.6667 0.1187
Li 0.0000 0.0000 0.4460
Li 0.0000 0.0000 0.7460
Li 0.6667 0.3333 0.5649
Li 0.6667 0.3333 0.9471
Li 0.3333 0.6667 0.8815
Tl 0.6667 0.3333 0.2521
Tl 0.3333 0.6667 0.6238
Sn 0.0000 0.0000 0.0371



Most stable: two). Least stable: one).



one) Compound: LiTl2Sn
Source: the Alexandria database
Functional: GGA-PBE
Structure: optimized geometry

Results
Density of states at the Fermi level in states/eV per atom: 0.6239
Volume in Å³ per atom: 27.69
Density in Mg/m³: 8.01
Crystal system: tetragonal
Total magnetization in Bohr magnetons per cell: 0.00

abc: 4.5537 4.5537 11.1561
angles: 78.22 78.22 90.00
Sites, in units of the cell vectors:
Tl 0.6121 0.1250 0.2500
Tl 0.1379 0.6250 0.2500
Tl 0.3750 0.3879 0.7500
Tl 0.8750 0.8621 0.7500
Sn 0.0000 0.0000 0.0000
Sn 0.7500 0.2500 0.5000
Li 0.5000 0.5000 0.0000
Li 0.2500 0.7500 0.5000



two) Compound: LiTl2Sn
Source: the Alexandria database
Functional: GGA-PBE
Structure: optimized geometry

Results
Density of states at the Fermi level in states/eV per atom: 0.7626
Volume in Å³ per atom: 26.82
Density in Mg/m³: 8.27
Crystal system: cubic
Total magnetization in Bohr magnetons per cell: 0.00

abc: 5.3337 5.3337 5.3337
angles: 60.00 60.00 60.00
Sites, in units of the cell vectors:
Tl 0.2500 0.2500 0.2500
Tl 0.7500 0.7500 0.7500
Sn 0.5000 0.5000 0.5000
Li 0.0000 0.0000 0.0000



Most stable: two). Least stable: one).



one) Compound: LiTl2Sn
Source: the Alexandria database
Functional: GGA-PBE
Structure: optimized geometry

Results
Density of states at the Fermi level in states/eV per atom: 0.6402
Volume in Å³ per atom: 36.30
Density in Mg/m³: 6.11
Crystal system: trigonal
Total magnetization in Bohr magnetons per cell: 0.00

abc: 4.9826 4.9826 7.3406
angles: 70.16 70.16 60.00
Sites, in units of the cell vectors:
Tl 0.1441 0.1441 0.5677
Tl 0.8559 0.8559 0.4323
Sn 0.0000 0.0000 0.0000
Li 0.5000 0.5000 0.5000



two) Compound: LiTl2Sn
Source: the Alexandria database
Functional: GGA-PBE
Structure: optimized geometry

Results
Density of states at the Fermi level in states/eV per atom: 0.3724
Volume in Å³ per atom: 25.77
Density in Mg/m³: 8.61
Crystal system: tetragonal
Total magnetization in Bohr magnetons per cell: 0.00

abc: 3.6487 3.6487 7.7433
angles: 90.00 90.00 90.00
Sites, in units of the cell vectors:
Tl 0.0000 0.0000 0.7769
Tl 0.0000 0.0000 0.2231
Sn 0.5000 0.5000 0.5000
Li 0.5000 0.5000 0.0000



three) Compound: LiTl2Sn
Source: the Alexandria database
Functional: GGA-PBE
Structure: optimized geometry

Results
Density of states at the Fermi level in states/eV per atom: 0.2269
Volume in Å³ per atom: 27.19
Density in Mg/m³: 8.16
Crystal system: trigonal
Total magnetization in Bohr magnetons per cell: 0.00

abc: 4.7065 4.7065 6.2876
angles: 68.02 68.02 60.00
Sites, in units of the cell vectors:
Li 0.6839 0.6839 0.9483
Tl 0.0645 0.0645 0.8064
Tl 0.2642 0.2642 0.2075
Sn 0.4874 0.4874 0.5378



Most stable: two). Least stable: one).



one) Compound: Li2TlSn2
Source: the Alexandria database
Functional: GGA-PBE
Structure: optimized geometry

Results
Density of states at the Fermi level in states/eV per atom: 0.3541
Volume in Å³ per atom: 23.53
Density in Mg/m³: 6.43
Crystal system: monoclinic
Total magnetization in Bohr magnetons per cell: 0.00

abc: 4.8958 4.8958 6.3645
angles: 87.14 119.11 115.61
Sites, in units of the cell vectors:
Li 0.8053 0.3918 0.1971
Li 0.1947 0.6082 0.8029
Tl 0.0000 0.0000 0.0000
Sn 0.4050 0.2139 0.6188
Sn 0.5950 0.7861 0.3812



two) Compound: Li2TlSn2
Source: the Alexandria database
Functional: GGA-PBE
Structure: optimized geometry

Results
Density of states at the Fermi level in states/eV per atom: 0.3094
Volume in Å³ per atom: 23.70
Density in Mg/m³: 6.38
Crystal system: tetragonal
Total magnetization in Bohr magnetons per cell: 0.00

abc: 8.6054 8.6054 3.2008
angles: 90.00 90.00 90.00
Sites, in units of the cell vectors:
Tl 0.0000 0.0000 0.0000
Tl 0.5000 0.5000 0.0000
Sn 0.3810 0.8810 0.0000
Sn 0.8810 0.6190 0.0000
Sn 0.6190 0.1190 0.0000
Sn 0.1190 0.3810 0.0000
Li 0.1792 0.6792 0.5000
Li 0.6792 0.8208 0.5000
Li 0.8208 0.3208 0.5000
Li 0.3208 0.1792 0.5000



Most stable: two). Least stable: one).



one) Compound: Li8Tl2Sn
Source: the Alexandria database
Functional: GGA-PBE
Structure: optimized geometry

Results
Density of states at the Fermi level in states/eV per atom: 0.3396
Volume in Å³ per atom: 19.18
Density in Mg/m³: 4.59
Crystal system: orthorhombic
Total magnetization in Bohr magnetons per cell: 0.00

abc: 4.7259 7.4392 7.4449
angles: 119.99 108.51 90.00
Sites, in units of the cell vectors:
Li 0.6426 0.8438 0.2852
Li 0.3570 0.5586 0.7140
Li 0.1465 0.1461 0.2929
Li 0.0002 0.2863 0.0004
Li 0.8535 0.8539 0.7071
Li 0.6430 0.4414 0.2860
Li 0.3574 0.1562 0.7148
Li 0.9998 0.7137 0.9996
Tl 0.2042 0.7045 0.4084
Tl 0.7958 0.2955 0.5916
Sn 0.5000 0.0000 0.0000



two) Compound: Li8Tl2Sn
Source: the Alexandria database
Functional: GGA-PBE
Structure: optimized geometry

Results
Density of states at the Fermi level in states/eV per atom: 0.3655
Volume in Å³ per atom: 19.35
Density in Mg/m³: 4.55
Crystal system: monoclinic
Total magnetization in Bohr magnetons per cell: 0.00

abc: 4.7882 7.8176 7.8176
angles: 122.87 103.83 103.83
Sites, in units of the cell vectors:
Li 0.8377 0.9030 0.6806
Li 0.8377 0.6806 0.9030
Li 0.2937 0.5922 0.5922
Li 0.5000 0.7951 0.2049
Li 0.5000 0.2049 0.7951
Li 0.7063 0.4078 0.4078
Li 0.1623 0.3194 0.0970
Li 0.1623 0.0970 0.3194
Tl 0.0000 0.3117 0.6883
Tl 0.0000 0.6883 0.3117
Sn 0.5000 0.0000 0.0000



Most stable: one). Least stable: two).



one) Compound: Li3TlSn
Source: the Alexandria database
Functional: GGA-PBE
Structure: optimized geometry

Results
Density of states at the Fermi level in states/eV per atom: 0.2537
Volume in Å³ per atom: 20.20
Density in Mg/m³: 5.65
Crystal system: monoclinic
Total magnetization in Bohr magnetons per cell: 0.00

abc: 4.3609 6.5155 7.1131
angles: 88.38 90.00 90.00
Sites, in units of the cell vectors:
Li 0.6244 0.8139 0.5810
Li 0.6244 0.9942 0.1455
Li 0.1244 0.5108 0.6602
Li 0.1244 0.2846 0.0663
Li 0.1244 0.1043 0.5017
Li 0.6244 0.5877 0.9871
Tl 0.6244 0.3687 0.3540
Tl 0.1244 0.7297 0.2933
Sn 0.6243 0.2195 0.7816
Sn 0.1243 0.8790 0.8656



two) Compound: Li3TlSn
Source: the Alexandria database
Functional: GGA-PBE
Structure: optimized geometry

Results
Density of states at the Fermi level in states/eV per atom: 0.2202
Volume in Å³ per atom: 28.18
Density in Mg/m³: 4.05
Crystal system: cubic
Total magnetization in Bohr magnetons per cell: 0.00

abc: 5.2035 5.2035 5.2035
angles: 90.00 90.00 90.00
Sites, in units of the cell vectors:
Tl 0.5000 0.5000 0.5000
Sn 0.0000 0.0000 0.0000
Li 0.0000 0.5000 0.0000
Li 0.0000 0.0000 0.5000
Li 0.5000 0.0000 0.0000



Most stable: one). Least stable: two).



one) Compound: Li4TlSn2
Source: the Alexandria database
Functional: GGA-PBE
Structure: optimized geometry

Results
Density of states at the Fermi level in states/eV per atom: 0.2977
Volume in Å³ per atom: 22.03
Density in Mg/m³: 5.06
Crystal system: monoclinic
Total magnetization in Bohr magnetons per cell: 0.00

abc: 7.1404 5.7930 8.1062
angles: 90.00 113.13 90.00
Sites, in units of the cell vectors:
Li 0.5893 0.4906 0.2212
Li 0.0173 0.7500 0.8003
Li 0.9827 0.2500 0.1997
Li 0.5893 0.0094 0.2212
Li 0.9766 0.2500 0.5734
Li 0.4107 0.9906 0.7788
Li 0.4107 0.5094 0.7788
Li 0.0234 0.7500 0.4266
Tl 0.2360 0.7500 0.1642
Tl 0.7640 0.2500 0.8358
Sn 0.7785 0.7500 0.0370
Sn 0.2215 0.2500 0.9630
Sn 0.3951 0.2500 0.4488
Sn 0.6049 0.7500 0.5512



two) Compound: Li4TlSn2
Source: the Alexandria database
Functional: GGA-PBE
Structure: optimized geometry

Results
Density of states at the Fermi level in states/eV per atom: 0.2411
Volume in Å³ per atom: 21.30
Density in Mg/m³: 5.23
Crystal system: monoclinic
Total magnetization in Bohr magnetons per cell: 0.00

abc: 4.9995 4.6814 8.5518
angles: 66.43 90.00 122.27
Sites, in units of the cell vectors:
Li 0.8378 0.6756 0.2348
Li 0.1622 0.3244 0.7652
Li 0.5741 0.1483 0.6478
Li 0.4259 0.8517 0.3522
Tl 0.0000 0.0000 0.5000
Sn 0.7263 0.4527 0.9133
Sn 0.2737 0.5473 0.0867



Most stable: two). Least stable: one).



one) Compound: Li2TmSn2
Source: the Alexandria database
Functional: GGA-PBE
Structure: optimized geometry

Results
Density of states at the Fermi level in states/eV per atom: 0.3239
Volume in Å³ per atom: 22.55
Density in Mg/m³: 6.19
Crystal system: monoclinic
Total magnetization in Bohr magnetons per cell: 0.00

abc: 4.5659 4.5573 6.7844
angles: 109.46 90.00 120.06
Sites, in units of the cell vectors:
Li 0.3122 0.1245 0.4369
Li 0.6878 0.8755 0.5631
Tm 0.5000 0.5000 0.0000
Sn 0.0781 0.6561 0.7330
Sn 0.9219 0.3439 0.2670



two) Compound: Li2TmSn2
Source: the Alexandria database
Functional: GGA-PBE
Structure: optimized geometry

Results
Density of states at the Fermi level in states/eV per atom: 0.3549
Volume in Å³ per atom: 22.07
Density in Mg/m³: 6.33
Crystal system: orthorhombic
Total magnetization in Bohr magnetons per cell: 0.00

abc: 4.6286 6.8024 7.5734
angles: 102.97 107.79 90.00
Sites, in units of the cell vectors:
Li 0.7795 0.3901 0.5588
Li 0.2207 0.1099 0.4412
Li 0.2205 0.6099 0.4412
Li 0.7793 0.8901 0.5588
Tm 0.0000 0.7500 0.0000
Tm 0.0000 0.2500 0.0000
Sn 0.6106 0.0557 0.2210
Sn 0.6104 0.5557 0.2210
Sn 0.3894 0.9443 0.7790
Sn 0.3896 0.4443 0.7790



Most stable: one). Least stable: two).



one) Compound: LiTmSn2
Source: the Alexandria database
Functional: GGA-PBE
Structure: optimized geometry

Results
Density of states at the Fermi level in states/eV per atom: 0.2695
Volume in Å³ per atom: 23.13
Density in Mg/m³: 7.42
Crystal system: orthorhombic
Total magnetization in Bohr magnetons per cell: 0.00

abc: 9.9005 9.9005 4.4803
angles: 90.00 90.00 155.08
Sites, in units of the cell vectors:
Li 0.6714 0.3286 0.7500
Li 0.3286 0.6714 0.2500
Tm 0.8957 0.1043 0.7500
Tm 0.1043 0.8957 0.2500
Sn 0.5447 0.4553 0.7500
Sn 0.4553 0.5447 0.2500
Sn 0.2529 0.7471 0.7500
Sn 0.7471 0.2529 0.2500



two) Compound: LiTmSn2
Source: the Alexandria database
Functional: GGA-PBE
Structure: optimized geometry

Results
Density of states at the Fermi level in states/eV per atom: 0.7768
Volume in Å³ per atom: 24.88
Density in Mg/m³: 6.90
Crystal system: trigonal
Total magnetization in Bohr magnetons per cell: 0.00

abc: 3.4393 3.4393 9.9157
angles: 80.01 80.01 60.00
Sites, in units of the cell vectors:
Tm 0.5000 0.5000 0.5000
Sn 0.7451 0.7451 0.7647
Sn 0.2549 0.2549 0.2353
Li 0.0000 0.0000 0.0000



Most stable: one). Least stable: two).



one) Compound: LiTmSn2
Source: the Alexandria database
Functional: GGA-PBE
Structure: optimized geometry

Results
Density of states at the Fermi level in states/eV per atom: 0.3298
Volume in Å³ per atom: 23.22
Density in Mg/m³: 7.39
Crystal system: tetragonal
Total magnetization in Bohr magnetons per cell: 0.00

abc: 4.3660 4.6122 4.6122
angles: 90.00 90.00 90.00
Sites, in units of the cell vectors:
Tm 0.5000 0.0000 0.0000
Sn 0.0000 0.0000 0.5000
Sn 0.0000 0.5000 0.0000
Li 0.5000 0.5000 0.5000



two) Compound: LiTmSn2
Source: the Alexandria database
Functional: GGA-PBE
Structure: optimized geometry

Results
Density of states at the Fermi level in states/eV per atom: 0.7817
Volume in Å³ per atom: 24.28
Density in Mg/m³: 7.07
Crystal system: cubic
Total magnetization in Bohr magnetons per cell: 0.00

abc: 5.1595 5.1595 5.1595
angles: 60.00 60.00 60.00
Sites, in units of the cell vectors:
Tm 0.0000 0.0000 0.0000
Sn 0.2500 0.2500 0.2500
Sn 0.7500 0.7500 0.7500
Li 0.5000 0.5000 0.5000



Most stable: one). Least stable: two).



one) Compound: LiUSn2
Source: the Alexandria database
Functional: GGA-PBE
Structure: optimized geometry

Results
Density of states at the Fermi level in states/eV per atom: 1.8645
Volume in Å³ per atom: 24.26
Density in Mg/m³: 8.26
Crystal system: cubic
Total magnetization in Bohr magnetons per cell: 2.47

abc: 5.1572 5.1572 5.1583
angles: 60.01 60.01 60.00
Site moments in Bohr magnetons follow the coordinates.
Sites, in units of the cell vectors:
U 0.5000 0.5000 0.5000  2.36
Sn 0.2500 0.2500 0.2499  0.00
Sn 0.7500 0.7500 0.7501  0.00
Li 0.0000 0.0000 0.0000  -0.01



two) Compound: LiUSn2
Source: the Alexandria database
Functional: GGA-PBE
Structure: optimized geometry

Results
Density of states at the Fermi level in states/eV per atom: 1.4148
Volume in Å³ per atom: 22.89
Density in Mg/m³: 8.75
Crystal system: tetragonal
Total magnetization in Bohr magnetons per cell: 2.97

abc: 3.1072 3.1072 9.4846
angles: 90.00 90.00 90.00
Site moments in Bohr magnetons follow the coordinates.
Sites, in units of the cell vectors:
U 0.5000 0.5000 0.5000  2.67
Sn 0.0000 0.0000 0.7674  -0.01
Sn 0.0000 0.0000 0.2326  -0.01
Li 0.5000 0.5000 0.0000  0.00



Most stable: two). Least stable: one).